Record 1
YSc2Ru2: optimized geometry, PBE-GGA.

a = 4.666 Å, b = 4.666 Å, c = 5.931 Å
α = 66.84°, β = 66.84°, γ = 90.00°
Atoms (fractional coordinates):
Y  0.000  0.000  0.000
Ru  0.750  0.250  0.500
Ru  0.250  0.750  0.500
Sc  0.350  0.350  0.300
Sc  0.650  0.650  0.700

The value obtained for the total magnetization is 0.0 μB per cell. The distance to the lowest polymorph of the same formula is 1.46 eV/f.u. Its space group is I4/mmm.



Record 2
PmGe4Ir6: optimized geometry, PBE-GGA.

a = 3.939 Å, b = 7.230 Å, c = 7.230 Å
α = 120.00°, β = 90.00°, γ = 90.00°
Atoms (fractional coordinates):
Pm  0.000  0.000  0.000
Ge  0.500  0.805  0.610
Ge  0.500  0.390  0.195
Ge  0.500  0.805  0.195
Ge  0.000  0.333  0.667
Ir  0.000  0.534  0.068
Ir  0.500  0.600  0.800
Ir  0.000  0.534  0.466
Ir  0.000  0.932  0.466
Ir  0.500  0.200  0.800
Ir  0.500  0.200  0.400

For the total DFT energy (no corrections), the calculation gives -0.2735 Ha/atom. The value obtained for the total magnetization is 0.0 μB per cell. Its space group is P-6m2.



Record 3
Zr3Ga4Cu4: optimized geometry, PBE-GGA.

a = 4.094 Å, b = 6.457 Å, c = 7.743 Å
α = 114.64°, β = 105.33°, γ = 90.00°
Atoms (fractional coordinates):
Zr  0.125  0.125  0.249
Zr  0.875  0.875  0.751
Zr  0.000  0.500  0.000
Ga  0.215  0.715  0.429
Ga  0.785  0.285  0.571
Ga  0.500  0.803  0.000
Ga  0.500  0.197  0.000
Cu  0.327  0.132  0.654
Cu  0.673  0.478  0.346
Cu  0.673  0.868  0.346
Cu  0.327  0.522  0.654

For the total DFT energy (no corrections), the calculation gives -0.1965 Ha/atom. The value obtained for the total magnetization is 0.0 μB per cell. Its space group is Immm.



Record 4
VCoTcIr: optimized geometry, PBE-GGA.

a = 4.228 Å, b = 4.228 Å, c = 4.228 Å
α = 60.00°, β = 60.00°, γ = 60.00°
Site moments in Bohr magnetons follow the coordinates.
Atoms (fractional coordinates):
Ir  0.750  0.750  0.750  0.12
Co  0.000  0.000  0.000  1.42
Tc  0.250  0.250  0.250  0.28
V  0.500  0.500  0.500  0.07

For the total DFT energy (no corrections), the calculation gives -0.3288 Ha/atom. The value obtained for the total magnetization is 1.9 μB per cell. Its space group is F-43m.



Record 5
BaMnTe2: optimized geometry, PBE-GGA.

a = 4.084 Å, b = 4.542 Å, c = 7.800 Å
α = 88.02°, β = 90.00°, γ = 90.00°
Site moments in Bohr magnetons follow the coordinates.
Atoms (fractional coordinates):
Te  0.000  0.766  0.994  0.02
Te  0.000  0.734  0.506  0.02
Ba  0.500  0.250  0.250  0.03
Mn  0.500  0.750  0.750  4.14

The value obtained for the total magnetization is 4.7 μB per cell. For the uncorrected formation energy, the calculation gives -728.0 meV/atom. Its space group is P2/m.



Record 6
CsMgPC: optimized geometry, PBE-GGA.

a = 3.415 Å, b = 3.462 Å, c = 14.504 Å
α = 90.00°, β = 90.14°, γ = 90.00°
Atoms (fractional coordinates):
Cs  0.293  0.000  0.680
Cs  0.293  0.500  0.180
P  0.790  0.000  0.999
P  0.790  0.500  0.499
Mg  0.288  0.000  0.400
Mg  0.288  0.500  0.900
C  0.788  0.000  0.879
C  0.788  0.500  0.379

The value obtained for the total magnetization is 0.0 μB per cell. The distance to the lowest polymorph of the same formula is 0.28 eV/f.u. Its space group is Cm.



Record 7
La2TcSF: optimized geometry, PBE-GGA.

a = 5.142 Å, b = 4.019 Å, c = 5.142 Å
α = 90.00°, β = 90.00°, γ = 90.00°
Atoms (fractional coordinates):
S  0.500  0.500  0.500
F  0.000  0.000  0.000
Tc  0.000  0.500  0.000
La  0.000  0.000  0.500
La  0.500  0.000  0.000

The value obtained for the total magnetization is 0.0 μB per cell. For the uncorrected formation energy, the calculation gives -928.8 meV/atom. Its space group is P4/mmm.



Record 8
YAl2Se4: optimized geometry, PBE-GGA.

a = 6.374 Å, b = 6.374 Å, c = 6.374 Å
α = 104.49°, β = 104.49°, γ = 119.98°
Site moments in Bohr magnetons follow the coordinates.
Atoms (fractional coordinates):
Y  0.500  0.500  0.000  0.45
Al  0.250  0.750  0.500  0.01
Al  0.750  0.250  0.500  0.01
Se  0.332  0.165  0.498  0.00
Se  0.835  0.332  0.167  0.00
Se  0.165  0.668  0.833  0.00
Se  0.668  0.835  0.502  0.00

The value obtained for the total magnetization is 1.0 μB per cell. For the uncorrected formation energy, the calculation gives -917.9 meV/atom. Its space group is I4/m.



Record 9
Tb8Co2Ir: optimized geometry, PBE-GGA.

a = 6.086 Å, b = 7.392 Å, c = 7.392 Å
α = 113.62°, β = 100.18°, γ = 100.18°
Atoms (fractional coordinates):
Tb  0.580  0.348  0.082
Tb  0.580  0.082  0.348
Tb  0.172  0.360  0.360
Tb  0.986  0.213  0.789
Tb  0.986  0.789  0.213
Tb  0.801  0.643  0.643
Tb  0.382  0.926  0.662
Tb  0.382  0.662  0.926
Co  0.486  0.695  0.316
Co  0.486  0.316  0.695
Ir  0.158  0.999  0.999

For the total DFT energy (no corrections), the calculation gives -0.2074 Ha/atom. The value obtained for the total magnetization is 0.0 μB per cell. Its space group is Cm.



Record 10
TcIrW: optimized geometry, PBE-GGA.

a = 4.880 Å, b = 4.880 Å, c = 4.880 Å
α = 140.68°, β = 140.68°, γ = 56.82°
Atoms (fractional coordinates):
Ir  0.006  0.006  0.000
Tc  0.326  0.326  0.000
W  0.668  0.668  0.000

The value obtained for the total magnetization is 0.0 μB per cell. The distance to the lowest polymorph of the same formula is 0.87 eV/f.u. Its space group is I4mm.



Record 11
Li2MgTe: optimized geometry, PBE-GGA.

a = 5.014 Å, b = 5.014 Å, c = 5.014 Å
α = 60.00°, β = 60.00°, γ = 60.00°
Atoms (fractional coordinates):
Mg  0.000  0.000  0.000
Te  0.500  0.500  0.500
Li  0.250  0.250  0.250
Li  0.750  0.750  0.750

The value obtained for the total magnetization is 0.0 μB per cell. For the uncorrected formation energy, the calculation gives -398.6 meV/atom. The distance to the lowest polymorph of the same formula is 0.56 eV/f.u. Its space group is Fm-3m.



Record 12
SbPt2C: optimized geometry, PBE-GGA.

a = 5.024 Å, b = 5.024 Å, c = 6.866 Å
α = 68.54°, β = 68.54°, γ = 90.00°
Atoms (fractional coordinates):
Sb  0.000  0.000  0.000
Sb  0.750  0.250  0.500
C  0.500  0.500  0.000
C  0.250  0.750  0.500
Pt  0.514  0.125  0.250
Pt  0.236  0.625  0.250
Pt  0.375  0.486  0.750
Pt  0.875  0.764  0.750

The value obtained for the total magnetization is 0.0 μB per cell. For the uncorrected formation energy, the calculation gives 294.9 meV/atom. The distance to the lowest polymorph of the same formula is 0.00 eV/f.u. Its space group is I-42d.



Record 13
K2TlCr: optimized geometry, PBE-GGA.

a = 4.654 Å, b = 4.713 Å, c = 8.210 Å
α = 55.08°, β = 90.00°, γ = 90.00°
Site moments in Bohr magnetons follow the coordinates.
Atoms (fractional coordinates):
Cr  0.500  0.750  0.750  4.18
K  0.000  0.001  0.999  0.01
K  0.000  0.499  0.501  0.01
Tl  0.500  0.250  0.250  -0.04

The value obtained for the total magnetization is 4.9 μB per cell. The distance to the lowest polymorph of the same formula is 0.73 eV/f.u. Its space group is P2/m.



Record 14
Ba2NaS: optimized geometry, PBE-GGA.

a = 3.952 Å, b = 3.952 Å, c = 10.052 Å
α = 90.00°, β = 90.00°, γ = 90.00°
Site moments in Bohr magnetons follow the coordinates.
Atoms (fractional coordinates):
Na  0.500  0.500  0.500  0.01
S  0.500  0.500  0.000  0.01
Ba  0.000  0.000  0.818  0.08
Ba  0.000  0.000  0.182  0.08

The value obtained for the total magnetization is 0.7 μB per cell. For the uncorrected formation energy, the calculation gives -824.5 meV/atom. Its space group is P4/mmm.



Record 15
Mg4Si3: optimized geometry, PBE-GGA.

a = 6.593 Å, b = 6.462 Å, c = 7.551 Å
α = 96.15°, β = 106.81°, γ = 107.41°
Atoms (fractional coordinates):
Mg  0.482  0.931  0.466
Mg  0.162  0.932  0.049
Mg  0.254  0.475  0.114
Mg  0.418  0.403  0.511
Mg  0.837  0.680  0.457
Mg  0.656  0.905  0.105
Mg  0.700  0.400  0.931
Mg  0.257  0.661  0.754
Si  0.928  0.290  0.486
Si  0.715  0.772  0.770
Si  0.256  0.088  0.719
Si  0.584  0.277  0.235
Si  0.070  0.023  0.368
Si  0.931  0.163  0.785

The value obtained for the total magnetization is 0.0 μB per cell. For the uncorrected formation energy, the calculation gives 88.4 meV/atom. The distance to the lowest polymorph of the same formula is 0.84 eV/f.u. Its space group is P1.



Record 16
Ti2GaFeH: optimized geometry, PBE-GGA.

a = 4.124 Å, b = 4.124 Å, c = 3.545 Å
α = 90.00°, β = 90.00°, γ = 90.00°
Site moments in Bohr magnetons follow the coordinates.
Atoms (fractional coordinates):
H  0.000  0.000  0.000  0.00
Fe  0.000  0.000  0.500  1.75
Ga  0.500  0.500  0.500  -0.01
Ti  0.000  0.500  0.000  -0.07
Ti  0.500  0.000  0.000  -0.07

For the total DFT energy (no corrections), the calculation gives -0.2389 Ha/atom. The value obtained for the total magnetization is 1.6 μB per cell. Its space group is P4/mmm.



Record 17
K4Er3GaO8: optimized geometry, PBE-GGA.

a = 6.732 Å, b = 7.340 Å, c = 6.733 Å
α = 117.31°, β = 119.99°, γ = 90.00°
Atoms (fractional coordinates):
K  0.500  0.000  0.000
K  0.500  0.000  0.500
K  0.000  0.000  0.000
K  0.000  0.000  0.500
Er  0.500  0.500  0.000
Er  0.500  0.500  0.500
Er  0.000  0.500  0.500
Ga  0.000  0.500  0.000
O  0.219  0.682  0.962
O  0.220  0.682  0.440
O  0.272  0.315  0.544
O  0.743  0.682  0.962
O  0.257  0.318  0.038
O  0.728  0.685  0.456
O  0.780  0.318  0.560
O  0.781  0.318  0.038

The value obtained for the total magnetization is 0.0 μB per cell. For the uncorrected formation energy, the calculation gives -2461.6 meV/atom. Its space group is R-3m.



Record 18
CrH2Ir2: optimized geometry, PBE-GGA.

a = 5.832 Å, b = 5.832 Å, c = 2.919 Å
α = 90.00°, β = 90.00°, γ = 90.00°
Site moments in Bohr magnetons follow the coordinates.
Atoms (fractional coordinates):
Cr  0.000  0.000  0.000  2.05
Cr  0.500  0.500  0.000  2.05
Ir  0.159  0.659  0.500  -0.16
Ir  0.659  0.841  0.500  -0.16
Ir  0.841  0.341  0.500  -0.16
Ir  0.341  0.159  0.500  -0.16
H  0.282  0.782  0.000  -0.01
H  0.782  0.718  0.000  -0.01
H  0.718  0.218  0.000  -0.01
H  0.218  0.282  0.000  -0.01

The value obtained for the total magnetization is 3.7 μB per cell. The distance to the lowest polymorph of the same formula is 0.40 eV/f.u. Its space group is P4/mbm.



Record 19
PrIn2Br8: optimized geometry, PBE-GGA.

a = 7.251 Å, b = 8.575 Å, c = 8.575 Å
α = 64.12°, β = 82.35°, γ = 82.35°
Atoms (fractional coordinates):
Pr  0.000  0.000  0.000
In  0.645  0.810  0.810
In  0.355  0.190  0.190
Br  0.226  0.301  0.876
Br  0.774  0.124  0.699
Br  0.268  0.824  0.824
Br  0.732  0.176  0.176
Br  0.226  0.876  0.301
Br  0.774  0.699  0.124
Br  0.775  0.637  0.637
Br  0.225  0.363  0.363

The value obtained for the total magnetization is 0.0 μB per cell. For the uncorrected formation energy, the calculation gives -1065.4 meV/atom. Its space group is C2/m.